[1]
Density functional theory data (GGA-PBE) for a geometry-optimized Rb4YTm3Se8 structure.

Summary:
Calculated volume = 489.2 Å³/f.u.
DOS(E_F) = 0.00 states/eV/cell
Size of the total moment = 0.0000 μB/atom
Uncorrected formation energy = -1.73 eV/atom

a b c (Å): 9.3473 9.3473 9.3473
angles (deg): 53.47 53.47 53.47
Closest atoms and distances in Å follow each position.
Fractional positions:
Rb 0.0000 0.0000 0.0000  6 Se 3.43
Rb 0.0000 0.5000 0.5000  6 Se 3.45
Rb 0.5000 0.0000 0.5000  6 Se 3.45
Rb 0.5000 0.5000 0.0000  6 Se 3.45
Y 0.5000 0.5000 0.5000  6 Se 2.90
Tm 0.0000 0.0000 0.5000  6 Se 2.87-2.88
Tm 0.0000 0.5000 0.0000  6 Se 2.87-2.88
Tm 0.5000 0.0000 0.0000  6 Se 2.87-2.88
Se 0.2284 0.7329 0.7329  2 Tm 2.87, 1 Y 2.90
Se 0.2310 0.2310 0.2310  3 Tm 2.88
Se 0.2671 0.2671 0.7716  2 Tm 2.87, 1 Y 2.90
Se 0.2671 0.7716 0.2671  2 Tm 2.87, 1 Y 2.90
Se 0.7329 0.2284 0.7329  2 Tm 2.87, 1 Y 2.90
Se 0.7329 0.7329 0.2284  2 Tm 2.87, 1 Y 2.90
Se 0.7690 0.7690 0.7690  3 Tm 2.88
Se 0.7716 0.2671 0.2671  2 Tm 2.87, 1 Y 2.90



[2]
Density functional theory data (GGA-PBE) for a geometry-optimized ThZrIn structure.

Summary:
Formation energy from the elements = 0.00 eV per atom
Calculated volume = 80.7 Å³/f.u.
DOS(E_F) = 3.93 states/eV/cell
Size of the total moment = 0.0000 μB/atom
Distance to the lowest polymorph of the same formula = 0.65 eV/f.u.

a b c (Å): 5.2789 5.2789 3.3429
angles (deg): 90.00 90.00 120.00
Closest atoms and distances in Å follow each position.
Fractional positions:
Th 0.0000 0.0000 0.0000  2 Th 3.34, 6 In 3.45-3.50, 6 Zr 3.46-3.49
Zr 0.3333 0.6667 0.5080  3 In 3.05, 2 Zr 3.34
In 0.6667 0.3333 0.4831  3 Zr 3.05, 2 In 3.34



[3]
Density functional theory data (GGA-PBE) for a geometry-optimized CdSi2Ni structure.

Summary:
Calculated volume = 62.9 Å³/f.u.
DOS(E_F) = 1.37 states/eV/cell
Size of the total moment = 0.0000 μB/atom
Uncorrected formation energy = 0.08 eV/atom

a b c (Å): 2.8250 2.8250 7.8856
angles (deg): 90.00 90.00 90.00
Closest atoms and distances in Å follow each position.
Fractional positions:
Cd 0.0000 0.0000 0.0000  4 Cd 2.83
Si 0.5000 0.5000 0.3133  4 Ni 2.48
Si 0.5000 0.5000 0.6867  4 Ni 2.48
Ni 0.0000 0.0000 0.5000  8 Si 2.48